Record 1
This record from the Alexandria database describes crystalline RbNaHg2Pt at its relaxed geometry. The functional is PBE.

Output
- E_form (eV per atom) = -0.0403
- energy above the most stable polymorph in this dataset (eV per formula unit) = 1.00
- energy (eV per atom) = -1.83
- N(E_F) (states/eV/atom) = 0.6249

abc: 5.384 5.384 6.082
angles: 90.00 90.00 90.00
Fractional coordinates of all 5 atoms:
Na 0.500 0.500 0.500
Rb 0.000 0.000 0.500
Hg 0.000 0.500 0.000
Hg 0.500 0.000 0.000
Pt 0.000 0.000 0.000


Record 2
This record from the Alexandria database describes crystalline Na2HgSbPt at its relaxed geometry. The functional is PBE.

Output
- energy (eV per atom) = -2.83
- N(E_F) (states/eV/atom) = 0.4060
- ΔE_f (raw) (eV per atom) = -0.21

abc: 5.703 5.703 4.918
angles: 90.00 90.00 90.00
Fractional coordinates of all 5 atoms:
Sb 0.000 0.000 0.500
Hg 0.500 0.500 0.500
Pt 0.000 0.000 0.000
Na 0.000 0.500 0.000
Na 0.500 0.000 0.000


Record 3
This record from the Alexandria database describes crystalline NaScHgPt2 at its relaxed geometry. The functional is PBE.

Output
- E_form (eV per atom) = 0.3804
- energy (eV per atom) = -3.63
- N(E_F) (states/eV/atom) = 0.4286

abc: 4.860 5.951 4.860
angles: 90.00 90.00 90.00
Fractional coordinates of all 5 atoms:
Sc 0.000 0.000 0.000
Na 0.000 0.500 0.000
Hg 0.500 0.500 0.500
Pt 0.000 0.000 0.500
Pt 0.500 0.000 0.000


Record 4
This record from the Alexandria database describes crystalline Na2SiHgPt at its relaxed geometry. The functional is PBE.

Output
- energy (eV per atom) = -2.91
- N(E_F) (states/eV/atom) = 0.8817
- ΔE_f (raw) (eV per atom) = -0.03

abc: 5.749 4.433 5.749
angles: 90.00 90.00 90.00
Fractional coordinates of all 5 atoms:
Na 0.000 0.000 0.500
Na 0.500 0.000 0.000
Si 0.000 0.000 0.000
Hg 0.500 0.500 0.500
Pt 0.000 0.500 0.000


Record 5
This record from the Alexandria database describes crystalline NaSmHgPt at its relaxed geometry. The functional is PBE.

Output
- E_form (eV per atom) = -0.4964
- energy (eV per atom) = -3.59
- N(E_F) (states/eV/atom) = 0.5231

abc: 5.054 5.054 5.054
angles: 60.00 60.00 60.00
Fractional coordinates of all 4 atoms:
Na 0.500 0.500 0.500
Sm 0.000 0.000 0.000
Hg 0.250 0.250 0.250
Pt 0.750 0.750 0.750


Record 6
This record from the Alexandria database describes crystalline Na2SnHgPt at its relaxed geometry. The functional is PBE.

Output
- E_form (eV per atom) = -0.1421
- energy (eV per atom) = -2.74
- N(E_F) (states/eV/atom) = 0.8192

abc: 5.724 5.022 5.724
angles: 90.00 90.00 90.00
Fractional coordinates of all 5 atoms:
Na 0.000 0.000 0.500
Na 0.500 0.000 0.000
Hg 0.500 0.500 0.500
Pt 0.000 0.000 0.000
Sn 0.000 0.500 0.000


Record 7
This record from the Alexandria database describes crystalline NaSnHgPt at its relaxed geometry. The functional is PBE.

Output
- E_form (eV per atom) = -0.2272
- energy (eV per atom) = -3.14
- N(E_F) (states/eV/atom) = 0.2715

abc: 4.847 4.847 4.847
angles: 60.00 60.00 60.00
Fractional coordinates of all 4 atoms:
Na 0.250 0.250 0.250
Hg 0.000 0.000 0.000
Pt 0.750 0.750 0.750
Sn 0.500 0.500 0.500


Record 8
This record from the Alexandria database describes crystalline NaSr2HgPt at its relaxed geometry. The functional is PBE.

Output
- E_form (eV per atom) = -0.3985
- energy above the most stable polymorph in this dataset (eV per formula unit) = 0.00
- energy (eV per atom) = -2.60
- N(E_F) (states/eV/atom) = 0.3039

abc: 5.887 5.887 5.366
angles: 90.00 90.00 90.00
Fractional coordinates of all 5 atoms:
Sr 0.000 0.500 0.000
Sr 0.500 0.000 0.000
Hg 0.000 0.000 0.500
Pt 0.000 0.000 0.000
Na 0.500 0.500 0.500


Record 9
This record from the Alexandria database describes crystalline NaSrHg2Pt at its relaxed geometry. The functional is PBE.

Output
- E_form (eV per atom) = 0.9303
- energy (eV per atom) = -1.00
- N(E_F) (states/eV/atom) = 0.9381

abc: 6.004 6.537 6.004
angles: 90.00 90.00 90.00
Site moments in Bohr magnetons follow the coordinates.
Fractional coordinates of all 5 atoms:
Sr 0.000 0.000 0.000  0.00
Hg 0.000 0.000 0.500  0.00
Hg 0.500 0.000 0.000  0.00
Pt 0.500 0.500 0.500  0.18
Na 0.000 0.500 0.000  0.00


Record 10
This record from the Alexandria database describes crystalline NaSrHgPt at its relaxed geometry. The functional is PBE.

Output
- E_form (eV per atom) = -0.3982
- energy (eV per atom) = -2.73
- N(E_F) (states/eV/atom) = 0.5768

abc: 5.238 5.238 5.238
angles: 60.00 60.00 60.00
Fractional coordinates of all 4 atoms:
Sr 0.000 0.000 0.000
Hg 0.250 0.250 0.250
Pt 0.750 0.750 0.750
Na 0.500 0.500 0.500


Record 11
This record from the Alexandria database describes crystalline NaSr2HgPt at its relaxed geometry. The functional is PBE.

Output
- E_form (eV per atom) = -0.3654
- energy above the most stable polymorph in this dataset (eV per formula unit) = 0.17
- energy (eV per atom) = -2.57
- N(E_F) (states/eV/atom) = 0.4430

abc: 5.828 5.828 5.416
angles: 90.00 90.00 90.00
Fractional coordinates of all 5 atoms:
Sr 0.000 0.500 0.000
Sr 0.500 0.000 0.000
Hg 0.500 0.500 0.500
Pt 0.000 0.000 0.000
Na 0.000 0.000 0.500


Record 12
This record from the Alexandria database describes crystalline NaSrHgPt2 at its relaxed geometry. The functional is PBE.

Output
- E_form (eV per atom) = 0.3400
- energy (eV per atom) = -2.74
- N(E_F) (states/eV/atom) = 0.4255

abc: 5.237 5.561 5.237
angles: 90.00 90.00 90.00
Fractional coordinates of all 5 atoms:
Sr 0.000 0.500 0.000
Hg 0.000 0.000 0.000
Pt 0.000 0.000 0.500
Pt 0.500 0.000 0.000
Na 0.500 0.500 0.500


Record 13
This record from the Alexandria database describes crystalline Na2Sr6HgPt at its relaxed geometry. The functional is PBE.

Output
- E_form (eV per atom) = -0.2962
- energy (eV per atom) = -2.20
- N(E_F) (states/eV/atom) = 0.6955

abc: 7.815 9.135 12.155
angles: 90.00 86.75 90.00
Fractional coordinates of all 20 atoms:
Na 0.101 0.901 0.245
Na 0.601 0.599 0.745
Na 0.899 0.099 0.755
Na 0.399 0.401 0.255
Sr 0.326 0.669 0.035
Sr 0.826 0.831 0.535
Sr 0.674 0.331 0.965
Sr 0.174 0.169 0.465
Sr 0.350 0.704 0.461
Sr 0.850 0.796 0.961
Sr 0.650 0.296 0.539
Sr 0.150 0.204 0.039
Sr 0.880 0.522 0.241
Sr 0.380 0.978 0.741
Sr 0.120 0.478 0.759
Sr 0.620 0.022 0.259
Hg 0.500 0.000 0.000
Hg 0.000 0.500 0.500
Pt 0.500 0.000 0.500
Pt 0.000 0.500 0.000


Record 14
This record from the Alexandria database describes crystalline NaTbHgPt at its relaxed geometry. The functional is PBE.

Output
- E_form (eV per atom) = -0.5069
- energy (eV per atom) = -3.58
- N(E_F) (states/eV/atom) = 0.5121

abc: 4.994 4.994 4.994
angles: 60.00 60.00 60.00
Fractional coordinates of all 4 atoms:
Na 0.500 0.500 0.500
Tb 0.000 0.000 0.000
Hg 0.750 0.750 0.750
Pt 0.250 0.250 0.250


Record 15
This record from the Alexandria database describes crystalline NaTlHgPt at its relaxed geometry. The functional is PBE.

Output
- E_form (eV per atom) = -0.1372
- energy (eV per atom) = -2.64
- N(E_F) (states/eV/atom) = 0.4098

abc: 4.902 4.902 4.902
angles: 60.00 60.00 60.00
Fractional coordinates of all 4 atoms:
Na 0.250 0.250 0.250
Tl 0.500 0.500 0.500
Hg 0.000 0.000 0.000
Pt 0.750 0.750 0.750


Record 16
This record from the Alexandria database describes crystalline NaTlHg2Pt at its relaxed geometry. The functional is PBE.

Output
- E_form (eV per atom) = -0.1027
- energy above the most stable polymorph in this dataset (eV per formula unit) = 0.00
- energy (eV per atom) = -2.17
- N(E_F) (states/eV/atom) = 0.4479

abc: 5.365 5.365 5.251
angles: 90.00 90.00 90.00
Fractional coordinates of all 5 atoms:
Na 0.500 0.500 0.500
Tl 0.000 0.000 0.500
Hg 0.000 0.500 0.000
Hg 0.500 0.000 0.000
Pt 0.000 0.000 0.000


Record 17
This record from the Alexandria database describes crystalline NaTlHg2Pt at its relaxed geometry. The functional is PBE.

Output
- E_form (eV per atom) = -0.0181
- energy above the most stable polymorph in this dataset (eV per formula unit) = 0.42
- energy (eV per atom) = -2.08
- N(E_F) (states/eV/atom) = 0.5928

abc: 5.315 5.315 5.317
angles: 90.00 90.00 90.00
Fractional coordinates of all 5 atoms:
Na 0.000 0.000 0.500
Tl 0.500 0.500 0.500
Hg 0.000 0.500 0.000
Hg 0.500 0.000 0.000
Pt 0.000 0.000 0.000


Record 18
This record from the Alexandria database describes crystalline NaTl2HgPt at its relaxed geometry. The functional is PBE.

Output
- E_form (eV per atom) = -0.0533
- energy above the most stable polymorph in this dataset (eV per formula unit) = 0.21
- energy (eV per atom) = -2.53
- N(E_F) (states/eV/atom) = 0.5635

abc: 5.333 5.333 5.395
angles: 90.00 90.00 90.00
Fractional coordinates of all 5 atoms:
Na 0.500 0.500 0.500
Tl 0.000 0.500 0.000
Tl 0.500 0.000 0.000
Hg 0.000 0.000 0.500
Pt 0.000 0.000 0.000


Record 19
This record from the Alexandria database describes crystalline NaTl2HgPt at its relaxed geometry. The functional is PBE.

Output
- E_form (eV per atom) = -0.0956
- energy above the most stable polymorph in this dataset (eV per formula unit) = 0.00
- energy (eV per atom) = -2.57
- N(E_F) (states/eV/atom) = 0.5180

abc: 5.285 5.285 5.591
angles: 90.00 90.00 90.00
Fractional coordinates of all 5 atoms:
Na 0.000 0.000 0.500
Tl 0.000 0.500 0.000
Tl 0.500 0.000 0.000
Hg 0.500 0.500 0.500
Pt 0.000 0.000 0.000


Record 20
This record from the Alexandria database describes crystalline NaTmHgPt at its relaxed geometry. The functional is PBE.

Output
- E_form (eV per atom) = -0.5038
- energy (eV per atom) = -3.54
- N(E_F) (states/eV/atom) = 0.4892

abc: 4.936 4.936 4.936
angles: 60.00 60.00 60.00
Fractional coordinates of all 4 atoms:
Na 0.250 0.250 0.250
Tm 0.750 0.750 0.750
Hg 0.500 0.500 0.500
Pt 0.000 0.000 0.000